A plane-wave DFT calculation with PBE-GGA was carried out for LiSbS2 after structural relaxation.

Output
Space-group type = R-3m
Volume = 26.78 Å³ per atom
Formation energy without anion corrections = -0.50 eV per atom
N(E_F) = 0.000 states/eV/atom
Final energy = -4.0726 eV/atom
Mass density = 3.0 g/cm³

a b c (Å): 7.8687 7.8687 7.8687
angles (deg): 29.89 29.89 29.89
With the nearest neighbours (Å) after each atom.
Fractional coordinates of all 4 atoms:
Li (0.0000, 0.0000, 0.0000)  2 S 2.27
Sb (0.5000, 0.5000, 0.5000)  6 S 2.77
S (0.1008, 0.1008, 0.1008)  1 Li 2.27
S (0.8992, 0.8992, 0.8992)  1 Li 2.27

---

A plane-wave DFT calculation with PBE-GGA was carried out for Ba6Na2Au after structural relaxation.

Output
Space-group type = P2_1/c
Volume = 55.84 Å³ per atom
N(E_F) = 1.040 states/eV/atom
Final energy = -2.0902 eV/atom
Mass density = 3.5 g/cm³
Calculated formation energy = -0.151 eV per atom

a b c (Å): 8.6731 8.7297 15.8522
angles (deg): 90.00 123.12 90.00
With the nearest neighbours (Å) after each atom.
Fractional coordinates of all 18 atoms:
Ba (0.1741, 0.1990, 0.4847)  1 Au 3.21
Ba (0.1741, 0.3010, 0.9847)  1 Au 3.21
Ba (0.2877, 0.6901, 0.4854)  1 Au 3.21
Ba (0.2877, 0.8099, 0.9854)  1 Au 3.21
Ba (0.2948, 0.5065, 0.7553)  1 Au 3.27
Ba (0.2948, 0.9935, 0.2553)  1 Au 3.27
Ba (0.7052, 0.0065, 0.7447)  1 Au 3.27
Ba (0.7052, 0.4935, 0.2447)  1 Au 3.27
Ba (0.7123, 0.1901, 0.0146)  1 Au 3.21
Ba (0.7123, 0.3099, 0.5146)  1 Au 3.21
Ba (0.8259, 0.6990, 0.0153)  1 Au 3.21
Ba (0.8259, 0.8010, 0.5153)  1 Au 3.21
Na (0.2264, 0.0348, 0.7499)  6 Ba 3.99-4.23
Na (0.2264, 0.4652, 0.2499)  6 Ba 3.99-4.23
Na (0.7736, 0.5348, 0.7501)  6 Ba 3.99-4.23
Na (0.7736, 0.9652, 0.2501)  6 Ba 3.99-4.23
Au (0.5000, 0.0000, 0.5000)  6 Ba 3.21-3.27
Au (0.5000, 0.5000, 0.0000)  6 Ba 3.21-3.27

---

A plane-wave DFT calculation with PBE-GGA was carried out for Ba2AlHg2Au4 after structural relaxation.

Output
Space-group type = I4/mmm
Volume = 26.40 Å³ per atom
N(E_F) = 0.474 states/eV/atom
Final energy = -2.8768 eV/atom
Mass density = 10.4 g/cm³
Calculated formation energy = -0.510 eV per atom

a b c (Å): 6.8845 6.8845 6.8845
angles (deg): 117.88 117.88 93.71
With the nearest neighbours (Å) after each atom.
Fractional coordinates of all 9 atoms:
Ba (0.2500, 0.7500, 0.5000)  8 Au 3.44, 4 Hg 3.60
Ba (0.7500, 0.2500, 0.5000)  8 Au 3.44, 4 Hg 3.60
Al (0.0000, 0.0000, 0.0000)  4 Au 2.58
Hg (0.3106, 0.3106, 0.0000)  1 Al 2.92, 4 Au 3.03
Hg (0.6894, 0.6894, 0.0000)  1 Al 2.92, 4 Au 3.03
Au (0.2567, 0.2567, 0.5134)  1 Al 2.58
Au (0.2567, 0.7433, 0.0000)  1 Al 2.58
Au (0.7433, 0.2567, 0.0000)  1 Al 2.58
Au (0.7433, 0.7433, 0.4866)  1 Al 2.58

---

A plane-wave DFT calculation with PBE-GGA was carried out for Ti4AlN after structural relaxation.

Output
Space-group type = P2_1/c
Energy above the lowest structure with this stoichiometry = 0.071 eV per atom
Volume = 15.12 Å³ per atom
Formation energy without anion corrections = -0.54 eV per atom
N(E_F) = 0.775 states/eV/atom
Final energy = -7.8137 eV/atom
Mass density = 4.3 g/cm³

a b c (Å): 5.6953 5.7852 5.5178
angles (deg): 90.00 93.68 90.00
With the nearest neighbours (Å) after each atom.
Fractional coordinates of all 12 atoms:
Ti (0.0948, 0.1698, 0.1773)  2 N 2.13-2.20
Ti (0.0948, 0.3302, 0.6773)  2 N 2.13-2.20
Ti (0.3197, 0.6183, 0.0786)  1 N 1.97
Ti (0.3197, 0.8817, 0.5786)  1 N 1.97
Ti (0.6803, 0.1183, 0.4214)  1 N 1.97
Ti (0.6803, 0.3817, 0.9214)  1 N 1.97
Ti (0.9052, 0.6698, 0.3227)  2 N 2.13-2.20
Ti (0.9052, 0.8302, 0.8227)  2 N 2.13-2.20
Al (0.5000, 0.0000, 0.0000)  6 Ti 2.49-2.75
Al (0.5000, 0.5000, 0.5000)  6 Ti 2.49-2.75
N (0.0000, 0.0000, 0.5000)  6 Ti 1.97-2.20
N (0.0000, 0.5000, 0.0000)  6 Ti 1.97-2.20

---

A plane-wave DFT calculation with PBE-GGA was carried out for AlRhCl3 after structural relaxation.

Output
Space-group type = Pm-3m
Energy above the lowest structure with this stoichiometry = 0.000 eV per atom
Volume = 22.85 Å³ per atom
Formation energy without anion corrections = -0.24 eV per atom
N(E_F) = 0.410 states/eV/atom
Final energy = -3.5680 eV/atom
Mass density = 3.4 g/cm³

a b c (Å): 4.8527 4.8527 4.8527
angles (deg): 90.00 90.00 90.00
With the nearest neighbours (Å) after each atom.
Fractional coordinates of all 5 atoms:
Al (0.0000, 0.0000, 0.0000)  12 Cl 3.43
Rh (0.5000, 0.5000, 0.5000)  6 Cl 2.43
Cl (0.0000, 0.5000, 0.5000)  2 Rh 2.43
Cl (0.5000, 0.0000, 0.5000)  2 Rh 2.43
Cl (0.5000, 0.5000, 0.0000)  2 Rh 2.43

---

A plane-wave DFT calculation with PBE-GGA was carried out for BeIn2Os after structural relaxation.

Output
Space-group type = P4/mmm
Volume = 16.72 Å³ per atom
N(E_F) = 0.533 states/eV/atom
Final energy = -4.5432 eV/atom
Mass density = 10.6 g/cm³
Calculated formation energy = 0.565 eV per atom

a b c (Å): 4.1329 4.1329 3.9158
angles (deg): 90.00 90.00 90.00
With the nearest neighbours (Å) after each atom.
Fractional coordinates of all 4 atoms:
Be (0.0000, 0.0000, 0.0000)  8 In 2.85, 4 Os 2.92
In (0.0000, 0.5000, 0.5000)  4 Os 2.85, 4 Be 2.85, 4 In 2.92
In (0.5000, 0.0000, 0.5000)  4 Os 2.85, 4 Be 2.85, 4 In 2.92
Os (0.5000, 0.5000, 0.0000)  8 In 2.85, 4 Be 2.92

---

A plane-wave DFT calculation with PBE-GGA was carried out for BaZn2FeGe after structural relaxation.

Output
Space-group type = P4/mmm
Volume = 21.39 Å³ per atom
N(E_F) = 0.414 states/eV/atom
Final energy = -3.6999 eV/atom
Mass density = 6.2 g/cm³
Calculated formation energy = -0.190 eV per atom

a b c (Å): 4.8448 4.8448 4.5568
angles (deg): 90.00 90.00 90.00
With the nearest neighbours (Å) after each atom.
Fractional coordinates of all 5 atoms:
Ba (0.0000, 0.0000, 0.0000)  8 Zn 3.33, 4 Ge 3.43
Zn (0.0000, 0.5000, 0.5000)  2 Fe 2.42
Zn (0.5000, 0.0000, 0.5000)  2 Fe 2.42
Fe (0.5000, 0.5000, 0.5000)  2 Ge 2.28, 4 Zn 2.42
Ge (0.5000, 0.5000, 0.0000)  2 Fe 2.28

---

A plane-wave DFT calculation with PBE-GGA was carried out for Tl2TeI5 after structural relaxation.

Output
Space-group type = Cmcm
Energy above the lowest structure with this stoichiometry = 0.000 eV per atom
Volume = 53.22 Å³ per atom
Formation energy without anion corrections = -0.36 eV per atom
N(E_F) = 0.159 states/eV/atom
Final energy = -2.3154 eV/atom
Mass density = 4.6 g/cm³

a b c (Å): 9.1559 9.1559 14.7542
angles (deg): 90.00 90.00 136.49
With the nearest neighbours (Å) after each atom.
Fractional coordinates of all 16 atoms:
Tl (0.1706, 0.8294, 0.5864)  6 I 3.45-3.74
Tl (0.1706, 0.8294, 0.9136)  6 I 3.45-3.74
Tl (0.8294, 0.1706, 0.0864)  6 I 3.45-3.74
Tl (0.8294, 0.1706, 0.4136)  6 I 3.45-3.74
Te (0.1682, 0.8318, 0.2500)  4 I 2.88-3.09
Te (0.8318, 0.1682, 0.7500)  4 I 2.88-3.09
I (0.0484, 0.9516, 0.1116)  1 Te 2.88
I (0.0484, 0.9516, 0.3884)  1 Te 2.88
I (0.2966, 0.7034, 0.1018)  1 Te 3.09, 2 Tl 3.45
I (0.2966, 0.7034, 0.3982)  1 Te 3.09, 2 Tl 3.45
I (0.3208, 0.6792, 0.7500)  2 Te 3.40, 2 Tl 3.51
I (0.6792, 0.3208, 0.2500)  2 Te 3.40, 2 Tl 3.51
I (0.7034, 0.2966, 0.6018)  1 Te 3.09, 2 Tl 3.45
I (0.7034, 0.2966, 0.8982)  1 Te 3.09, 2 Tl 3.45
I (0.9516, 0.0484, 0.6116)  1 Te 2.88
I (0.9516, 0.0484, 0.8884)  1 Te 2.88

---

Question: N(E_F) of number 5 (AlRhCl3)?
Answer: 0.410 states/eV/atom